--- w ---
10
Lattice="-0.3548 1.3743 8.0812 5.1115 -6.2865 1.2935 2.7863 2.2133 -0.2541" Properties=species:S:1:pos:R:3 comment="InGe2S2 | Alexandria | PBE | relaxed" sg="P4/mbm, No. 127" total_magnetization_mub_per_atom=0.00 pbc="T T T"
Ge 4.0725 -4.7096 3.6361
Ge 3.1911 -3.1566 7.4985
Ge 0.6842 -0.2026 5.7387
Ge 1.5656 -1.7556 1.8763
S 4.8094 -2.9252 2.2157
S 5.3384 -3.1069 6.4350
S 2.7336 0.2263 6.9051
S 2.2046 0.4079 2.6857
In 0.0000 0.0000 0.0000
In 2.3783 -2.4561 4.6874

***

--- x ---
5
Lattice="-3.7632 -3.1833 0.1019 3.1284 -3.6649 1.0426 -0.8973 -2.5890 5.2481" Properties=species:S:1:pos:R:3 comment="InGe2S2 | Alexandria | PBE | relaxed" sg="I4/mmm, No. 139" total_magnetization_mub_per_atom=0.00 pbc="T T T"
Ge -0.4966 -3.1661 2.0170
Ge -1.0355 -6.2711 4.3756
S -2.4889 -4.5982 2.9611
S 0.9569 -4.8390 3.4315
In 0.0000 0.0000 0.0000

***

Pick x: it beats the second-best structure by 0.027 eV/atom.

***

--- w ---
5
Lattice="5.3439 0.0000 0.0000 0.0000 5.3439 0.0000 0.0000 0.0000 5.3439" Properties=species:S:1:pos:R:3 comment="In3GeS | Alexandria | PBE | relaxed" sg="Pm-3m, No. 221" total_magnetization_mub_per_atom=0.00 pbc="T T T"
Ge 0.0000 0.0000 0.0000
S 2.6719 2.6719 2.6719
In 0.0000 2.6719 0.0000
In 0.0000 0.0000 2.6719
In 2.6719 0.0000 0.0000

***

--- x ---
5
Lattice="5.2646 0.0000 0.0000 0.0000 5.2646 0.0000 0.0000 0.0000 5.2646" Properties=species:S:1:pos:R:3 comment="In3GeS | Alexandria | PBE | relaxed" sg="Pm-3m, No. 221" total_magnetization_mub_per_atom=0.00 pbc="T T T"
Ge 2.6323 2.6323 2.6323
S 0.0000 0.0000 0.0000
In 0.0000 2.6323 0.0000
In 0.0000 0.0000 2.6323
In 2.6323 0.0000 0.0000

***

Pick w: it beats the second-best structure by 0.077 eV/atom.